Computed, not measured: crystalline AcDyHo2S4 at its relaxed geometry at the PBE level of DFT.

Summary:
crystal system: monoclinic
E: -6.2414 eV/atom
Fermi-level density of states: 4.69 states/eV per cell
formation energy (no corrections): -1.944 eV/atom

```
8
Lattice="-3.193 0.017 2.312 2.147 -5.953 3.010 3.966 1.571 5.466" Properties=species:S:1:pos:R:3 pbc="T T T"
Ac -0.523 -2.968 2.661
Dy 3.057 -2.191 4.238
Ho 3.966 1.571 5.466
Ho 0.387 0.794 3.889
S 4.552 -3.451 6.313
S -1.632 -0.914 4.475
S 1.064 -4.123 4.862
S 1.856 -0.242 5.926
```

=====

Computed, not measured: crystalline Ta3Ga2Cl9 at its relaxed geometry at the PBE level of DFT.

Summary:
crystal system: monoclinic
E: -5.2676 eV/atom
formation energy (no corrections): -1.108 eV/atom

```
28
Lattice="9.433 -0.315 -2.291 -3.244 8.110 -3.815 -0.258 0.637 9.507" Properties=species:S:1:pos:R:3 pbc="T T T"
Ta 3.191 0.875 -0.224
Ta 2.739 7.556 3.624
Ta 5.925 0.190 0.462
Ta 0.559 6.858 5.405
Ta 0.006 8.242 2.938
Ta 5.372 1.574 -2.005
Ga -0.295 4.382 -0.285
Ga 5.303 6.359 -0.431
Ga 6.226 4.050 3.685
Ga 0.628 2.073 3.831
Cl 3.795 2.139 5.402
Cl -0.318 4.604 6.510
Cl -1.584 7.774 0.860
Cl 6.249 3.827 -3.110
Cl 4.683 6.228 2.444
Cl 1.248 2.204 0.956
Cl 3.692 3.138 -1.088
Cl 1.576 6.955 1.527
Cl 2.239 5.294 4.488
Cl 4.355 1.477 1.873
Cl -0.998 6.075 3.631
Cl 4.724 7.146 -4.126
Cl 7.048 1.330 6.242
Cl 1.207 1.286 7.526
Cl -1.117 7.102 -2.842
Cl 2.136 6.292 -2.002
Cl 6.928 2.357 -0.231
Cl 7.515 0.658 2.540
```

=====

Computed, not measured: crystalline Lu2NpH at its relaxed geometry at the PBE level of DFT.

Summary:
crystal system: trigonal
E: -6.0797 eV/atom
Fermi-level density of states: 6.97 states/eV per cell

```
4
Lattice="3.253 0.000 0.000 1.627 2.817 0.000 1.627 0.939 9.189" Properties=species:S:1:pos:R:3 pbc="T T T"
Np 0.000 0.000 0.000
H 3.253 1.878 4.594
Lu 1.627 0.939 5.938
Lu 4.880 2.817 3.250
```

=====

Computed, not measured: crystalline Mg2HPt at its relaxed geometry at the PBE level of DFT.

Summary:
crystal system: cubic
E: -3.3089 eV/atom
Fermi-level density of states: 1.14 states/eV per cell

```
4
Lattice="-3.546 1.286 2.298 -0.479 4.243 1.130 -3.113 2.463 -1.937" Properties=species:S:1:pos:R:3 pbc="T T T"
H 0.000 0.000 0.000
Mg -1.785 1.998 0.373
Mg -5.354 5.994 1.118
Pt -3.569 3.996 0.746
```